(1)
## Ta2Te3Se (PBE)

Data for an optimized crystal structure of Ta2Te3Se.

Cell: 6.3179 3.6343 11.7478 Å, 90.00 105.47 90.00°
Closest atoms and distances in Å follow each position.
Fractional positions:
Ta  0.4402  0.0000  0.0065  1 Se 2.58, 5 Te 2.80-2.82
Ta  0.9021  0.5000  0.0037  2 Se 2.60, 4 Te 2.83-2.85
Se  0.8311  0.0000  0.1471  3 Ta 2.58-2.60
Te  0.3291  0.5000  0.1641  3 Ta 2.81-2.85
Te  0.6669  0.0000  0.8318  3 Ta 2.80-2.83
Te  0.1745  0.5000  0.8468  3 Ta 2.82-2.84

Properties
Total energy (eV per atom): -6.5466
SG: Pm (6)


(2)
## Ta2Te3Se (PBE)

Data for an optimized crystal structure of Ta2Te3Se.

Cell: 11.0599 11.0599 6.3047 Å, 90.05 90.05 18.91°
Closest atoms and distances in Å follow each position.
Fractional positions:
Ta  0.9973  0.9973  0.8993  2 Se 2.60, 4 Te 2.82-2.84
Ta  0.4976  0.4976  0.4377  1 Se 2.58, 5 Te 2.79-2.82
Te  0.0797  0.0797  0.2486  3 Ta 2.82-2.84
Te  0.9152  0.9152  0.2494  3 Ta 2.82-2.84
Te  0.5870  0.5870  0.7536  3 Ta 2.79-2.82
Se  0.4232  0.4232  0.7553  3 Ta 2.58-2.60

Properties
Total energy (eV per atom): -6.5468
SG: Cm (8)


(3)
## Ta2TeSe2 (PBE)

Data for an optimized crystal structure of Ta2TeSe2.

Cell: 7.4791 7.4791 12.2173 Å, 122.83 122.83 25.79°
Closest atoms and distances in Å follow each position.
Fractional positions:
Te  0.4375  0.4375  0.6423  4 Ta 2.82-2.88
Te  0.5625  0.5625  0.3577  4 Ta 2.82-2.88
Ta  0.4200  0.4200  0.8605  5 Se 2.62-2.72, 1 Te 2.82, 1 Ta 2.87
Ta  0.2317  0.2317  0.3878  2 Se 2.59, 3 Te 2.83-2.88
Ta  0.7683  0.7683  0.6122  2 Se 2.59, 3 Te 2.83-2.88
Ta  0.5800  0.5800  0.1395  5 Se 2.62-2.72, 1 Te 2.82, 1 Ta 2.87
Se  0.2037  0.2037  0.7182  3 Ta 2.59-2.62
Se  0.7963  0.7963  0.2818  3 Ta 2.59-2.62
Se  0.0975  0.0975  0.9763  4 Ta 2.72
Se  0.9025  0.9025  0.0237  4 Ta 2.72

Properties
Total energy (eV per atom): -7.3703
SG: C2/m (12)


(4)
## Ta2TeSe3 (PBE)

Data for an optimized crystal structure of Ta2TeSe3.

Cell: 11.0851 11.0851 6.1166 Å, 90.20 90.20 18.26°
Closest atoms and distances in Å follow each position.
Fractional positions:
Te  0.0837  0.0837  0.2520  3 Ta 2.82-2.83
Ta  0.4967  0.4967  0.4323  4 Se 2.60, 2 Te 2.82
Ta  0.9983  0.9983  0.9038  5 Se 2.61-2.64, 1 Te 2.83
Se  0.4204  0.4204  0.7563  3 Ta 2.60-2.61
Se  0.9256  0.9256  0.2473  3 Ta 2.60-2.64
Se  0.5752  0.5752  0.7524  3 Ta 2.60-2.61

Properties
Total energy (eV per atom): -6.9058
SG: Cm (8)


(5)
## Ta2Tl4Se11 (PBE)

Data for an optimized crystal structure of Ta2Tl4Se11.

Cell: 8.0876 9.2543 13.8770 Å, 72.95 89.34 86.00°
Closest atoms and distances in Å follow each position.
Fractional positions:
Se  0.1184  0.4948  0.8165  1 Se 2.41, 1 Ta 2.59
Se  0.5455  0.3118  0.1182  1 Se 2.40, 1 Ta 2.57
Se  0.5990  0.5543  0.6479  1 Se 2.41, 1 Ta 2.57
Se  0.2596  0.4040  0.1099  1 Se 2.40, 1 Ta 2.65
Se  0.2722  0.0366  0.0386  1 Ta 2.45
Se  0.4010  0.4457  0.3521  1 Se 2.41, 1 Ta 2.57
Se  0.8816  0.5052  0.1835  1 Se 2.41, 1 Ta 2.59
Se  0.0187  0.7117  0.5334  1 Ta 2.47
Se  0.3994  0.0755  0.7524  1 Se 2.40, 1 Ta 2.62
Se  0.6539  0.1423  0.6660  1 Se 2.40, 1 Ta 2.60
Se  0.4545  0.6882  0.8818  1 Se 2.40, 1 Ta 2.57
Se  0.0279  0.1302  0.2492  2 Ta 2.64-2.67
Se  0.6006  0.9245  0.2476  1 Se 2.40, 1 Ta 2.62
Se  0.0544  0.6577  0.2488  1 Se 2.41, 1 Ta 2.60
Se  0.7278  0.9634  0.9614  1 Ta 2.45
Se  0.7404  0.5960  0.8901  1 Se 2.40, 1 Ta 2.65
Se  0.9813  0.2883  0.4666  1 Ta 2.47
Se  0.3917  0.1791  0.3719  1 Se 2.41, 1 Ta 2.68
Se  0.6083  0.8209  0.6281  1 Se 2.41, 1 Ta 2.68
Se  0.3461  0.8577  0.3340  1 Se 2.40, 1 Ta 2.60
Se  0.9721  0.8698  0.7508  2 Ta 2.64-2.67
Se  0.9456  0.3423  0.7512  1 Se 2.41, 1 Ta 2.60
Ta  0.6632  0.8900  0.8113  6 Se 2.45-2.65
Ta  0.8764  0.6337  0.6969  6 Se 2.47-2.68
Ta  0.1236  0.3663  0.3031  6 Se 2.47-2.68
Ta  0.3368  0.1100  0.1887  6 Se 2.45-2.65
Tl  0.2391  0.4159  0.5816  4 Se 3.06-3.37
Tl  0.0525  0.7628  0.9843  3 Se 3.07-3.43
Tl  0.2126  0.9779  0.5723  6 Se 3.10-3.42
Tl  0.7609  0.5841  0.4184  4 Se 3.06-3.37
Tl  0.7874  0.0221  0.4277  6 Se 3.10-3.42
Tl  0.9475  0.2372  0.0157  3 Se 3.07-3.43
Tl  0.4928  0.7237  0.1118  4 Se 3.18-3.32
Tl  0.5072  0.2763  0.8882  4 Se 3.18-3.32

Properties
Total energy (eV per atom): -4.6985
SG: P-1 (2)


(6)
## TaWSe4 (PBE)

Data for an optimized crystal structure of TaWSe4.

Cell: 3.3927 10.4662 10.4662 Å, 147.28 90.00 90.00°
Closest atoms and distances in Å follow each position.
Fractional positions:
Se  0.5000  0.1602  0.3290  1 W 2.56, 2 Ta 2.58
Se  0.0000  0.8207  0.6569  2 W 2.57, 1 Ta 2.61
Se  0.0000  0.6569  0.8207  2 W 2.57, 1 Ta 2.61
Se  0.5000  0.3290  0.1602  1 W 2.56, 2 Ta 2.58
W  0.5000  0.5692  0.5692  6 Se 2.56-2.57
Ta  0.0000  0.0820  0.0820  6 Se 2.58-2.61

Properties
Total energy (eV per atom): -7.1311
SG: Amm2 (38)